[1]
Pm4Er3Th2: relaxed, GGA-PBE.

Unit cell a=10.0423 b=10.0423 c=6.1751 alpha=96.14 beta=96.14 gamma=72.17
Last column: nearest neighbours and their distance in Å.
Fractional positions:
Pm (0.0875, 0.8115, 0.9837)  1 Th 3.28, 3 Pm 3.48-3.65, 4 Er 3.48-3.55
Pm (0.1504, 0.4172, 0.1534)  5 Er 3.42-3.77, 2 Pm 3.44-3.77, 3 Th 3.53-3.65
Pm (0.1885, 0.9125, 0.5163)  1 Th 3.28, 3 Pm 3.48-3.65, 4 Er 3.48-3.55
Pm (0.4172, 0.1504, 0.6534)  5 Er 3.42-3.77, 2 Pm 3.44-3.77, 3 Th 3.53-3.65
Pm (0.5828, 0.8496, 0.3466)  5 Er 3.42-3.77, 2 Pm 3.44-3.77, 3 Th 3.53-3.65
Pm (0.8115, 0.0875, 0.4837)  1 Th 3.28, 3 Pm 3.48-3.65, 4 Er 3.48-3.55
Pm (0.8496, 0.5828, 0.8466)  5 Er 3.42-3.77, 2 Pm 3.44-3.77, 3 Th 3.53-3.65
Pm (0.9125, 0.1885, 0.0163)  1 Th 3.28, 3 Pm 3.48-3.65, 4 Er 3.48-3.55
Er (0.0593, 0.2790, 0.5820)  8 Pm 3.42-3.77, 2 Th 3.49-3.58
Er (0.2790, 0.0593, 0.0820)  8 Pm 3.42-3.77, 2 Th 3.49-3.58
Er (0.3926, 0.6074, 0.2500)  6 Th 3.40-3.70, 4 Pm 3.48-3.49
Er (0.6074, 0.3926, 0.7500)  6 Th 3.40-3.70, 4 Pm 3.48-3.49
Er (0.7210, 0.9407, 0.9180)  8 Pm 3.42-3.77, 2 Th 3.49-3.58
Er (0.9407, 0.7210, 0.4180)  8 Pm 3.42-3.77, 2 Th 3.49-3.58
Th (0.2520, 0.5292, 0.6889)  4 Pm 3.28-3.65, 4 Er 3.40-3.58, 1 Th 3.53
Th (0.4708, 0.7480, 0.8111)  4 Pm 3.28-3.65, 4 Er 3.40-3.58, 1 Th 3.53
Th (0.5292, 0.2520, 0.1890)  4 Pm 3.28-3.65, 4 Er 3.40-3.58, 1 Th 3.53
Th (0.7480, 0.4708, 0.3110)  4 Pm 3.28-3.65, 4 Er 3.40-3.58, 1 Th 3.53

Values from the calculation:
Energy relative to the elements, eV per formula unit: 1.056
SG: No. 15
Polymorph energy (0 for the lowest one), meV/atom: 41
Volume, Å³ per cell: 587.6


[2]
TlP2PdCl: relaxed, GGA-PBE.

Unit cell a=4.4939 b=4.4939 c=7.6040 alpha=90.00 beta=90.00 gamma=90.00
Last column: nearest neighbours and their distance in Å.
Fractional positions:
Tl (0.0000, 0.0000, 0.0000)  4 Cl 3.18
P (0.0000, 0.5000, 0.5000)  2 Pd 2.25
P (0.5000, 0.0000, 0.5000)  2 Pd 2.25
Pd (0.5000, 0.5000, 0.5000)  4 P 2.25
Cl (0.5000, 0.5000, 0.0000)  4 Tl 3.18

Values from the calculation:
SG: No. 123
Polymorph energy (0 for the lowest one), meV/atom: 0
Volume, Å³ per cell: 153.6